! KBaP2, PBEsol geometry, DFT meta-GGA SCAN; values from VASP
! Space group   No. 38
! Spin magnetization   0.0 Bohr magnetons per cell
! ΔH_f (0 K)   -0.720 eV/atom
! E above lowest polymorph   0.044 eV/atom
! Volume   28.195 Å³/atom
! Total energy   -143.11 eV/cell
&SYSTEM
  ibrav = 0, nat = 8, ntyp = 3
/
ATOMIC_SPECIES
K 39.10 K.upf
Ba 137.33 Ba.upf
P 30.97 P.upf
CELL_PARAMETERS angstrom
4.3139 0.0000 0.0000
0.0000 4.8309 0.0000
0.0000 0.0000 10.8234
ATOMIC_POSITIONS crystal
K 0.0000 0.0000 0.0000
K 0.0000 0.5000 0.5000
Ba 0.5000 0.0000 0.7221
Ba 0.5000 0.5000 0.2221
P 0.0000 0.0000 0.3050
P 0.0000 0.5000 0.8050
P 0.5000 0.0000 0.4035
P 0.5000 0.5000 0.9035

***

! BaBe2W, PBEsol geometry, DFT meta-GGA SCAN; values from VASP
! Space group   No. 65
! Spin magnetization   0.0 Bohr magnetons per cell
! ΔH_f (0 K)   1.258 eV/atom
! E above lowest polymorph   0.508 eV/atom
! Volume   17.002 Å³/atom
! Total energy   -225.83 eV/cell
&SYSTEM
  ibrav = 0, nat = 8, ntyp = 3
/
ATOMIC_SPECIES
Ba 137.33 Ba.upf
Be 9.01 Be.upf
W 183.84 W.upf
CELL_PARAMETERS angstrom
6.9566 0.0000 0.0000
0.0000 6.9744 0.0000
0.0000 0.0000 2.8034
ATOMIC_POSITIONS crystal
Ba 0.0000 0.0000 0.0000
Ba 0.5000 0.5000 0.0000
Be 0.2500 0.2500 0.5000
Be 0.2500 0.7500 0.5000
Be 0.7500 0.2500 0.5000
Be 0.7500 0.7500 0.5000
W 0.0000 0.5000 0.0000
W 0.5000 0.0000 0.0000

***

What did the second record say?
! BaBe2W, PBEsol geometry, DFT meta-GGA SCAN; values from VASP
! Space group   No. 65
! Spin magnetization   0.0 Bohr magnetons per cell
! ΔH_f (0 K)   1.258 eV/atom
! E above lowest polymorph   0.508 eV/atom
! Volume   17.002 Å³/atom
! Total energy   -225.83 eV/cell
&SYSTEM
  ibrav = 0, nat = 8, ntyp = 3
/
ATOMIC_SPECIES
Ba 137.33 Ba.upf
Be 9.01 Be.upf
W 183.84 W.upf
CELL_PARAMETERS angstrom
6.9566 0.0000 0.0000
0.0000 6.9744 0.0000
0.0000 0.0000 2.8034
ATOMIC_POSITIONS crystal
Ba 0.0000 0.0000 0.0000
Ba 0.5000 0.5000 0.0000
Be 0.2500 0.2500 0.5000
Be 0.2500 0.7500 0.5000
Be 0.7500 0.2500 0.5000
Be 0.7500 0.7500 0.5000
W 0.0000 0.5000 0.0000
W 0.5000 0.0000 0.0000

***

Which value of E above lowest polymorph does entry 2 give? 0.508 eV/atom